--- P ---
{"formula": "Li2AgBi", "functional": "GGA-PBEsol", "state": "optimized geometry", "lattice": [[0.000, 3.366, 3.366], [3.366, 0.000, 3.366], [3.366, 3.366, 0.000]], "species": ["Li", "Li", "Ag", "Bi"], "frac_coords": [[0.000, 0.000, 0.000], [0.250, 0.250, 0.250], [0.750, 0.750, 0.750], [0.500, 0.500, 0.500]], "crystal_system": "cubic"}

***

--- Q ---
{"formula": "Li2AgBi", "functional": "GGA-PBEsol", "state": "optimized geometry", "lattice": [[-3.793, 3.793, 2.867], [3.793, -3.793, 2.867], [3.793, 3.793, -2.867]], "species": ["Li", "Li", "Li", "Li", "Ag", "Ag", "Bi", "Bi"], "frac_coords": [[0.101, 0.125, 0.476], [0.375, 0.899, 0.024], [0.649, 0.625, 0.524], [0.875, 0.351, 0.976], [0.000, 0.000, 0.000], [0.750, 0.250, 0.500], [0.250, 0.750, 0.500], [0.500, 0.500, 0.000]], "crystal_system": "tetragonal"}

***

Among the structures shown above, P is the most stable, with the second-best lying 261 meV per atom higher.